(1)
{
  "formula": "La2Pr3SmAs6",
  "functional": "GGA-PBE",
  "state": "optimized geometry",
  "lattice_angstrom": [[4.318, 0.000, 0.000], [0.000, 8.628, 0.307], [-2.159, -2.486, 9.070]],
  "species": ["La", "La", "Pr", "Pr", "Pr", "Sm", "As", "As", "As", "As", "As", "As"],
  "fractional_positions": [[0.834, 0.668, 0.669], [0.166, 0.332, 0.331], [0.500, 0.500, 0.000], [0.833, 0.166, 0.667], [0.167, 0.834, 0.333], [0.500, 0.000, 0.000], [0.335, 0.919, 0.670], [0.666, 0.584, 0.332], [0.665, 0.081, 0.330], [0.999, 0.246, 0.998], [0.001, 0.754, 0.002], [0.334, 0.416, 0.668]],
  "formation_enthalpy_0k_ev_per_atom": -1.526,
  "crystal_system": "monoclinic",
  "total_magnetization_mub_per_fu": 0.00,
  "spacegroup": "C2/m (12)",
  "dft_energy_ev_per_cell": -75.13
}

(2)
{
  "formula": "SrLa2PrAs4",
  "functional": "GGA-PBE",
  "state": "optimized geometry",
  "lattice_angstrom": [[4.383, 0.000, 0.000], [0.000, 7.573, -0.138], [0.000, 2.676, 7.132]],
  "species": ["Sr", "La", "La", "Pr", "As", "As", "As", "As"],
  "fractional_positions": [[0.500, 0.500, 0.000], [0.000, 0.000, 0.000], [0.500, 0.000, 0.500], [0.000, 0.500, 0.500], [0.000, 0.757, 0.741], [0.000, 0.243, 0.259], [0.500, 0.752, 0.255], [0.500, 0.248, 0.745]],
  "formation_enthalpy_0k_ev_per_atom": -1.367,
  "crystal_system": "monoclinic",
  "total_magnetization_mub_per_fu": 0.00,
  "spacegroup": "P2/m (10)",
  "dft_energy_ev_per_cell": -45.85
}

(3)
{
  "formula": "SrLaPr2As4",
  "functional": "GGA-PBE",
  "state": "optimized geometry",
  "lattice_angstrom": [[-3.814, -0.293, -2.083], [2.071, -6.731, -2.846], [-2.155, -5.486, 4.718]],
  "species": ["Sr", "La", "Pr", "Pr", "As", "As", "As", "As"],
  "fractional_positions": [[0.500, 0.500, 0.000], [0.000, 0.500, 0.500], [0.000, 0.000, 0.000], [0.500, 0.000, 0.500], [0.000, 0.760, 0.741], [0.000, 0.240, 0.259], [0.500, 0.756, 0.253], [0.500, 0.244, 0.747]],
  "formation_enthalpy_0k_ev_per_atom": -1.353,
  "crystal_system": "monoclinic",
  "total_magnetization_mub_per_fu": 0.00,
  "spacegroup": "P2/m (10)",
  "dft_energy_ev_per_cell": -45.59
}

(4)
{
  "formula": "La2Tb3PrAs6",
  "functional": "GGA-PBE",
  "state": "optimized geometry",
  "lattice_angstrom": [[-1.576, -3.059, 2.493], [-2.371, -4.382, -6.875], [9.356, -1.560, 0.379]],
  "species": ["La", "La", "Tb", "Tb", "Tb", "Pr", "As", "As", "As", "As", "As", "As"],
  "fractional_positions": [[0.834, 0.668, 0.667], [0.166, 0.332, 0.333], [0.500, 0.500, 0.000], [0.833, 0.167, 0.667], [0.167, 0.833, 0.333], [0.500, 0.000, 0.000], [0.331, 0.924, 0.662], [0.664, 0.590, 0.328], [0.669, 0.076, 0.338], [0.997, 0.255, 0.994], [0.003, 0.745, 0.006], [0.336, 0.410, 0.672]],
  "formation_enthalpy_0k_ev_per_atom": -1.537,
  "crystal_system": "monoclinic",
  "total_magnetization_mub_per_fu": 0.00,
  "spacegroup": "C2/m (12)",
  "dft_energy_ev_per_cell": -74.86
}

(5)
{
  "formula": "LaTb2PrAs4",
  "functional": "GGA-PBE",
  "state": "optimized geometry",
  "lattice_angstrom": [[4.244, 0.000, 0.000], [0.000, 7.339, -0.143], [0.000, 2.584, 6.878]],
  "species": ["La", "Tb", "Tb", "Pr", "As", "As", "As", "As"],
  "fractional_positions": [[0.000, 0.500, 0.500], [0.000, 0.000, 0.000], [0.500, 0.000, 0.500], [0.500, 0.500, 0.000], [0.000, 0.761, 0.747], [0.000, 0.239, 0.253], [0.500, 0.762, 0.245], [0.500, 0.238, 0.755]],
  "formation_enthalpy_0k_ev_per_atom": -1.532,
  "crystal_system": "monoclinic",
  "total_magnetization_mub_per_fu": 0.00,
  "spacegroup": "P2/m (10)",
  "dft_energy_ev_per_cell": -49.82
}

(6)
{
  "formula": "LaTb2Pr3As6",
  "functional": "GGA-PBE",
  "state": "optimized geometry",
  "lattice_angstrom": [[-2.960, -2.891, -6.120], [7.179, -0.971, 1.445], [-2.897, -4.557, 5.040]],
  "species": ["La", "Tb", "Tb", "Pr", "Pr", "Pr", "As", "As", "As", "As", "As", "As"],
  "fractional_positions": [[0.000, 0.000, 0.000], [0.333, 0.667, 0.000], [0.667, 0.333, 0.000], [0.165, 0.835, 0.500], [0.835, 0.165, 0.500], [0.500, 0.500, 0.500], [0.919, 0.579, 0.756], [0.741, 0.741, 0.243], [0.081, 0.421, 0.244], [0.579, 0.919, 0.756], [0.259, 0.259, 0.757], [0.421, 0.081, 0.244]],
  "formation_enthalpy_0k_ev_per_atom": -1.516,
  "crystal_system": "monoclinic",
  "total_magnetization_mub_per_fu": 0.00,
  "spacegroup": "C2/m (12)",
  "dft_energy_ev_per_cell": -74.61
}

(7)
{
  "formula": "La2TbPrAs4",
  "functional": "GGA-PBE",
  "state": "optimized geometry",
  "lattice_angstrom": [[4.304, 0.000, 0.000], [0.000, 7.446, -0.148], [0.000, 2.620, 6.971]],
  "species": ["La", "La", "Tb", "Pr", "As", "As", "As", "As"],
  "fractional_positions": [[0.000, 0.000, 0.000], [0.500, 0.000, 0.500], [0.000, 0.500, 0.500], [0.500, 0.500, 0.000], [0.000, 0.744, 0.747], [0.000, 0.256, 0.253], [0.500, 0.741, 0.257], [0.500, 0.259, 0.743]],
  "formation_enthalpy_0k_ev_per_atom": -1.539,
  "crystal_system": "monoclinic",
  "total_magnetization_mub_per_fu": 0.00,
  "spacegroup": "P2/m (10)",
  "dft_energy_ev_per_cell": -50.17
}

(8)
{
  "formula": "LaTb3Pr2As6",
  "functional": "GGA-PBE",
  "state": "optimized geometry",
  "lattice_angstrom": [[4.238, 0.000, 0.000], [0.000, 8.462, 0.308], [-2.119, -2.433, 8.901]],
  "species": ["La", "Tb", "Tb", "Tb", "Pr", "Pr", "As", "As", "As", "As", "As", "As"],
  "fractional_positions": [[0.500, 0.000, 0.000], [0.500, 0.500, 0.000], [0.833, 0.167, 0.667], [0.167, 0.833, 0.333], [0.833, 0.666, 0.666], [0.167, 0.334, 0.334], [0.330, 0.922, 0.661], [0.664, 0.589, 0.329], [0.670, 0.078, 0.339], [0.998, 0.257, 0.996], [0.002, 0.743, 0.004], [0.336, 0.411, 0.671]],
  "formation_enthalpy_0k_ev_per_atom": -1.525,
  "crystal_system": "monoclinic",
  "total_magnetization_mub_per_fu": 0.00,
  "spacegroup": "C2/m (12)",
  "dft_energy_ev_per_cell": -74.58
}